No. 1
A relaxed CaTl3Ag3Br8 crystal, computed with PBE.

Properties
**E**: -2.936 eV per atom
**Fermi-level density of states**: 0.000 states/eV per atom
**E_form (uncorrected)**: -0.866 eV per atom

Unit cell a=8.5483 b=8.5483 c=9.1197 alpha=117.81 beta=117.81 gamma=59.57
Element x y z (fractional)
Ca  0.0000  0.0000  0.0000
Tl  0.0000  0.0000  0.5000
Tl  0.0000  0.5000  0.5000
Tl  0.5000  0.0000  0.5000
Ag  0.0000  0.5000  0.0000
Ag  0.5000  0.0000  0.0000
Ag  0.5000  0.5000  0.0000
Br  0.2346  0.2346  0.2081
Br  0.2381  0.7386  0.2108
Br  0.2614  0.7619  0.7892
Br  0.2643  0.2643  0.7974
Br  0.7357  0.7357  0.2026
Br  0.7386  0.2381  0.2108
Br  0.7619  0.2614  0.7892
Br  0.7654  0.7654  0.7919


No. 2
A relaxed CaZnAgBr2 crystal, computed with PBE.

Properties
**E**: -2.343 eV per atom
**Fermi-level density of states**: 0.605 states/eV per atom
**E_form (uncorrected)**: -0.448 eV per atom

Unit cell a=5.4866 b=5.4866 c=6.4866 alpha=90.00 beta=90.00 gamma=90.00
Element x y z (fractional)
Ca  0.0000  0.0000  0.0000
Zn  0.5000  0.5000  0.5000
Ag  0.0000  0.0000  0.5000
Br  0.0000  0.5000  0.0000
Br  0.5000  0.0000  0.0000


No. 3
A relaxed CdAgBr2 crystal, computed with PBE.

Properties
**E**: -2.103 eV per atom
**Fermi-level density of states**: 0.130 states/eV per atom
**E above lowest polymorph**: 16.1 meV per atom
**E_form (uncorrected)**: -0.325 eV per atom

Unit cell a=6.7195 b=6.7195 c=4.1979 alpha=108.01 beta=108.01 gamma=36.41
Element x y z (fractional)
Cd  0.0000  0.0000  0.0000
Ag  0.7635  0.7635  0.7619
Br  0.2407  0.2407  0.2383
Br  0.5269  0.5269  0.5262


No. 4
A relaxed CdAgBr2 crystal, computed with PBE.

Properties
**E**: -2.014 eV per atom
**Fermi-level density of states**: 0.344 states/eV per atom
**E above lowest polymorph**: 105.2 meV per atom
**E_form (uncorrected)**: -0.236 eV per atom

Unit cell a=4.0184 b=4.0033 c=7.2496 alpha=90.00 beta=91.28 gamma=90.00
Element x y z (fractional)
Cd  0.0000  0.0000  0.0000
Ag  0.5000  0.0000  0.5000
Br  0.2950  0.5000  0.2597
Br  0.7050  0.5000  0.7403